(1)
Density functional theory data (GGA-PBE) for a relaxed structure of Dy4GaAg2Pd.

Final energy = -4.58 eV per atom
Formation energy = -0.53 eV per atom

Structure (CIF):
```
data_Dy4GaAg2Pd
_cell_length_a 5.0742
_cell_length_b 5.0742
_cell_length_c 24.8441
_cell_angle_alpha 90.00
_cell_angle_beta 90.00
_cell_angle_gamma 120.00
_space_group_name_H-M_alt 'R -3 m'
_space_group_IT_number 166
_space_group_name_Hall '-R 3 2"'
loop_
_atom_site_label
_atom_site_type_symbol
_atom_site_fract_x
_atom_site_fract_y
_atom_site_fract_z
Dy1 Dy 0.0000 0.0000 0.1222
Dy2 Dy 0.0000 0.0000 0.3728
Ga1 Ga 0.0000 0.0000 0.5000
Ag1 Ag 0.0000 0.0000 0.2461
Pd1 Pd 0.0000 0.0000 0.0000
```

---

(2)
Density functional theory data (GGA-PBE) for a relaxed structure of DyGaAgPd.

Final energy = -4.45 eV per atom
Formation energy = -0.53 eV per atom

Structure (CIF):
```
data_DyGaAgPd
_cell_length_a 6.733
_cell_length_b 6.733
_cell_length_c 6.733
_cell_angle_alpha 90.00
_cell_angle_beta 90.00
_cell_angle_gamma 90.00
_space_group_name_H-M_alt 'F -4 3 m'
_space_group_IT_number 216
_space_group_name_Hall 'F -4 2 3'
loop_
_atom_site_label
_atom_site_type_symbol
_atom_site_fract_x
_atom_site_fract_y
_atom_site_fract_z
Dy1 Dy 0.000 0.000 0.000
Ga1 Ga 0.000 0.000 0.500
Ag1 Ag 0.250 0.250 0.250
Pd1 Pd 0.250 0.250 0.750
```

---

> Look up the formation energy of the first one.

-0.53 eV per atom

---

Repeat the first record exactly.
Density functional theory data (GGA-PBE) for a relaxed structure of Dy4GaAg2Pd.

Final energy = -4.58 eV per atom
Formation energy = -0.53 eV per atom

Structure (CIF):
```
data_Dy4GaAg2Pd
_cell_length_a 5.0742
_cell_length_b 5.0742
_cell_length_c 24.8441
_cell_angle_alpha 90.00
_cell_angle_beta 90.00
_cell_angle_gamma 120.00
_space_group_name_H-M_alt 'R -3 m'
_space_group_IT_number 166
_space_group_name_Hall '-R 3 2"'
loop_
_atom_site_label
_atom_site_type_symbol
_atom_site_fract_x
_atom_site_fract_y
_atom_site_fract_z
Dy1 Dy 0.0000 0.0000 0.1222
Dy2 Dy 0.0000 0.0000 0.3728
Ga1 Ga 0.0000 0.0000 0.5000
Ag1 Ag 0.0000 0.0000 0.2461
Pd1 Pd 0.0000 0.0000 0.0000
```

---

> formation energy of number 1 (Dy4GaAg2Pd)?

-0.53 eV per atom